Here is a relaxed structure of PBr from Alexandria. Energies are from PBE.

**Crystal system**: monoclinic
**Space-group type**: C2/m, No. 12
**Raw total energy**: -7.32 eV/f.u.
**Calculated volume**: 34.12 Å³/atom
**Energy relative to the lowest polymorph listed for this composition**: 0.0131 eV/atom

a b c (Å): 6.3781 8.7510 3.4985
angles (deg): 78.47 74.08 46.63
With the nearest neighbours (Å) after each atom.
Fractional positions:
Br (0.0014, 0.0097, 0.9945)  1 P 2.25
Br (0.9153, 0.5737, 0.7555)  1 P 2.25
P (0.5198, 0.1790, 0.1506)  1 Br 2.25, 2 P 2.32
P (0.3969, 0.4043, 0.5994)  1 Br 2.25, 2 P 2.32